Version one
Here is Ac4Ge2Pt after structural relaxation from Alexandria via LeMat-Bulk. Energies are from PBE.

## Properties
DOS(E_F) = 0.752 states/eV per atom
Calculated volume = 264 Å³ per cell
Symmetry = I4/mmm (139)

Lattice parameters (Å, degrees): 5.6077 5.6077 9.2801 107.59 107.59 90.00
Fractional coordinates of all 7 atoms:
Ac1 0.5000 0.0000 0.0000
Ac2 0.8119 0.8119 0.6239
Ac3 0.1881 0.1881 0.3761
Ac4 0.0000 0.5000 0.0000
Ge1 0.3732 0.3732 0.7464
Ge2 0.6268 0.6268 0.2536
Pt1 0.0000 0.0000 0.0000

Version two
Here is Ac4Ge2Pt after structural relaxation from Alexandria via LeMat-Bulk. Energies are from PBE.

## Properties
DOS(E_F) = 0.775 states/eV per atom
Calculated volume = 453 Å³ per cell
Symmetry = I2_12_12_1 (24)

Lattice parameters (Å, degrees): 8.3828 8.3855 8.3862 110.74 110.69 107.01
Fractional coordinates of all 14 atoms:
Ac1 0.3694 0.9982 0.2422
Ac2 0.2481 0.1195 0.7425
Ac3 0.7556 0.1270 0.7574
Ac4 0.3770 0.5058 0.2575
Ac5 0.8732 0.6305 0.6288
Ac6 0.0019 0.2444 0.3713
Ac7 0.8806 0.6229 0.1288
Ac8 0.4944 0.7518 0.8714
Ge1 0.1251 0.4861 0.8612
Ge2 0.5142 0.3749 0.6391
Ge3 0.6250 0.2640 0.1389
Ge4 0.7359 0.8752 0.3608
Pt1 0.2491 0.7491 0.5002
Pt2 0.0005 0.0006 0.9999

Energy ordering: version two at the bottom, the next structure 0.288 eV/atom above.

Version one
Here is Ac2Ge2Pt5 after structural relaxation from Alexandria via LeMat-Bulk. Energies are from PBE.

## Properties
DOS(E_F) = 0.327 states/eV per atom
Calculated volume = 205 Å³ per cell
Symmetry = C2/m (12)

Lattice parameters (Å, degrees): 4.2547 7.0871 7.1807 84.00 90.00 107.47
Fractional coordinates of all 9 atoms:
Ge1 0.1744 0.3488 0.0603
Ge2 0.8256 0.6512 0.9397
Pt1 0.3006 0.6013 0.7740
Pt2 0.6994 0.3987 0.2260
Pt3 0.9166 0.8333 0.6077
Pt4 0.0000 0.0000 0.0000
Pt5 0.0834 0.1667 0.3923
Ac1 0.6080 0.2160 0.6983
Ac2 0.3920 0.7840 0.3017

Version two
Here is Ac2Ge2Pt5 after structural relaxation from Alexandria via LeMat-Bulk. Energies are from PBE.

## Properties
DOS(E_F) = 0.336 states/eV per atom
Calculated volume = 187 Å³ per cell
Symmetry = P4/mmm (123)

Lattice parameters (Å, degrees): 4.5772 4.5772 8.9233 90.00 90.00 90.00
Fractional coordinates of all 9 atoms:
Ac1 0.0000 0.0000 0.5000
Ac2 0.0000 0.0000 0.0000
Pt1 0.5000 0.0000 0.7333
Pt2 0.0000 0.5000 0.7333
Pt3 0.5000 0.5000 0.5000
Pt4 0.0000 0.5000 0.2667
Pt5 0.5000 0.0000 0.2667
Ge1 0.5000 0.5000 0.8480
Ge2 0.5000 0.5000 0.1520

Energy ordering: version two at the bottom, the next structure 0.037 eV/atom above.

Version one
Here is AcGe3Pt after structural relaxation from Alexandria via LeMat-Bulk. Energies are from PBE.

## Properties
DOS(E_F) = 0.343 states/eV per atom
Calculated volume = 107 Å³ per cell
Symmetry = I4mm (107)

Lattice parameters (Å, degrees): 4.6308 4.6308 5.9797 112.78 112.78 90.00
Fractional coordinates of all 5 atoms:
Pt1 0.6552 0.6552 0.3104
Ac1 0.0057 0.0057 0.0114
Ge1 0.7630 0.2630 0.5259
Ge2 0.4035 0.4035 0.8069
Ge3 0.2630 0.7630 0.5259

Version two
Here is AcGe3Pt after structural relaxation from Alexandria via LeMat-Bulk. Energies are from PBE.

## Properties
DOS(E_F) = 0.416 states/eV per atom
Calculated volume = 223 Å³ per cell
Symmetry = P-1 (2)

Lattice parameters (Å, degrees): 6.3632 6.3317 6.5339 121.07 82.22 94.10
Fractional coordinates of all 10 atoms:
Ge1 0.7498 0.6209 0.8101
Ge2 0.2661 0.8127 0.6148
Ge3 0.2502 0.3791 0.1899
Ge4 0.2334 0.8129 0.1987
Ge5 0.7339 0.1873 0.3852
Ge6 0.7666 0.1871 0.8013
Pt1 0.0000 0.0000 0.0000
Pt2 0.5000 0.0000 0.0000
Ac1 0.2505 0.3414 0.6713
Ac2 0.7495 0.6586 0.3287

Energy ordering: version one at the bottom, the next structure 0.273 eV/atom above.

Version one
Here is AcGePt3 after structural relaxation from Alexandria via LeMat-Bulk. Energies are from PBE.

## Properties
DOS(E_F) = 0.467 states/eV per atom
Calculated volume = 102 Å³ per cell
Symmetry = I4mm (107)

Lattice parameters (Å, degrees): 4.2492 4.2491 6.3972 70.57 70.57 90.03
Fractional coordinates of all 5 atoms:
Pt1 0.8080 0.6115 0.0891
Pt2 0.6434 0.9461 0.4192
Pt3 0.1426 0.4468 0.4192
Ac1 0.3887 0.1922 0.9280
Ge1 0.0251 0.8286 0.6557

Version two
Here is AcGePt3 after structural relaxation from Alexandria via LeMat-Bulk. Energies are from PBE.

## Properties
DOS(E_F) = 0.373 states/eV per atom
Calculated volume = 224 Å³ per cell
Symmetry = Pbam (55)

Lattice parameters (Å, degrees): 4.8725 5.9196 7.7588 90.00 90.00 90.00
Fractional coordinates of all 10 atoms:
Ac1 0.5000 0.0000 0.0000
Ac2 0.5000 0.5000 0.5000
Pt1 0.0000 0.2510 0.2505
Pt2 0.0000 0.7510 0.2495
Pt3 0.5000 0.5000 0.0000
Pt4 0.0000 0.2490 0.7505
Pt5 0.5000 0.0000 0.5000
Pt6 0.0000 0.7490 0.7495
Ge1 0.0000 0.0000 0.5000
Ge2 0.0000 0.5000 0.0000

Energy ordering: version one at the bottom, the next structure 0.248 eV/atom above.

Version one
Here is AcGePt4 after structural relaxation from Alexandria via LeMat-Bulk. Energies are from PBE.

## Properties
DOS(E_F) = 0.548 states/eV per atom
Calculated volume = 238 Å³ per cell
Symmetry = C2/m (12)

Lattice parameters (Å, degrees): 6.3239 6.3239 7.7378 69.62 69.62 56.89
Fractional coordinates of all 12 atoms:
Pt1 0.2387 0.2387 0.7538
Pt2 0.6325 0.1435 0.4118
Pt3 0.2270 0.7730 0.0000
Pt4 0.7730 0.2270 0.0000
Pt5 0.1435 0.6325 0.4118
Pt6 0.3675 0.8565 0.5882
Pt7 0.7613 0.7613 0.2462
Pt8 0.8565 0.3675 0.5882
Ac1 0.8107 0.8107 0.7872
Ac2 0.1893 0.1893 0.2128
Ge1 0.4418 0.4418 0.7946
Ge2 0.5582 0.5582 0.2054

Version two
Here is AcGePt4 after structural relaxation from Alexandria via LeMat-Bulk. Energies are from PBE.

## Properties
DOS(E_F) = 1.085 states/eV per atom
Calculated volume = 129 Å³ per cell
Symmetry = P4/mmm (123)

Lattice parameters (Å, degrees): 4.6929 4.6929 5.8755 90.00 90.00 90.00
Fractional coordinates of all 6 atoms:
Ge1 0.0000 0.0000 0.0000
Pt1 0.5000 0.0000 0.0000
Pt2 0.0000 0.5000 0.0000
Pt3 0.5000 0.5000 0.7263
Pt4 0.5000 0.5000 0.2737
Ac1 0.0000 0.0000 0.5000

Energy ordering: version one at the bottom, the next structure 0.434 eV/atom above.

Version one
Here is Ac2Ge3Pt after structural relaxation from Alexandria via LeMat-Bulk. Energies are from PBE.

## Properties
DOS(E_F) = 0.481 states/eV per atom
Calculated volume = 152 Å³ per cell
Symmetry = Pmm2 (25)

Lattice parameters (Å, degrees): 4.4776 4.5201 7.5079 90.00 90.00 90.00
Fractional coordinates of all 6 atoms:
Ge1 0.5000 0.0000 0.8329
Ge2 0.5000 0.5000 0.6619
Ge3 0.5000 0.0000 0.1748
Ac1 0.0000 0.0000 0.4978
Ac2 0.0000 0.5000 0.0052
Pt1 0.5000 0.5000 0.3274

Version two
Here is Ac2Ge3Pt after structural relaxation from Alexandria via LeMat-Bulk. Energies are from PBE.

## Properties
DOS(E_F) = 0.592 states/eV per atom
Calculated volume = 304 Å³ per cell
Symmetry = Fmmm (69)

Lattice parameters (Å, degrees): 6.3373 6.3373 8.8461 111.96 111.96 87.48
Fractional coordinates of all 12 atoms:
Ge1 0.8313 0.8313 0.6627
Ge2 0.1678 0.6635 0.8314
Ge3 0.6635 0.1678 0.8314
Ge4 0.1687 0.1687 0.3373
Ge5 0.8322 0.3365 0.1686
Ge6 0.3365 0.8322 0.1686
Ac1 0.2497 0.2497 0.0000
Ac2 0.7500 0.2500 0.5000
Ac3 0.7503 0.7503 0.0000
Ac4 0.2500 0.7500 0.5000
Pt1 0.3337 0.3337 0.6674
Pt2 0.6663 0.6663 0.3326

Energy ordering: version two at the bottom, the next structure 0.023 eV/atom above.

Version one
Here is Ac3GePt after structural relaxation from Alexandria via LeMat-Bulk. Energies are from PBE.

## Properties
DOS(E_F) = 0.729 states/eV per atom
Calculated volume = 720 Å³ per cell
Symmetry = P2_1/c (14)

Lattice parameters (Å, degrees): 7.4022 10.3367 11.4243 124.49 90.00 90.00
Fractional coordinates of all 20 atoms:
Ac1 0.3663 0.1188 0.7122
Ac2 0.8663 0.3812 0.7878
Ac3 0.9521 0.2640 0.3619
Ac4 0.4521 0.2360 0.1381
Ac5 0.1337 0.6188 0.2122
Ac6 0.4056 0.3436 0.5477
Ac7 0.5479 0.7640 0.8619
Ac8 0.5944 0.6564 0.4523
Ac9 0.6337 0.8812 0.2878
Ac10 0.9056 0.1564 0.9523
Ac11 0.0944 0.8436 0.0477
Ac12 0.0479 0.7360 0.6381
Pt1 0.7432 0.0171 0.1156
Pt2 0.2568 0.9829 0.8844
Pt3 0.2432 0.4829 0.3844
Pt4 0.7568 0.5171 0.6156
Ge1 0.7921 0.9984 0.6178
Ge2 0.2921 0.5016 0.8822
Ge3 0.7079 0.4984 0.1178
Ge4 0.2079 0.0016 0.3822

Version two
Here is Ac3GePt after structural relaxation from Alexandria via LeMat-Bulk. Energies are from PBE.

## Properties
DOS(E_F) = 0.963 states/eV per atom
Calculated volume = 670 Å³ per cell
Symmetry = Pnma (62)

Lattice parameters (Å, degrees): 4.4689 12.1513 12.3312 90.00 90.00 90.00
Fractional coordinates of all 20 atoms:
Pt1 0.2500 0.3219 0.9929
Pt2 0.2500 0.1781 0.4929
Pt3 0.7500 0.6781 0.0071
Pt4 0.7500 0.8219 0.5071
Ac1 0.2500 0.3038 0.7229
Ac2 0.7500 0.3575 0.4508
Ac3 0.7500 0.0563 0.6187
Ac4 0.7500 0.6962 0.2771
Ac5 0.7500 0.4437 0.1187
Ac6 0.2500 0.9437 0.3813
Ac7 0.2500 0.6425 0.5492
Ac8 0.2500 0.8575 0.0492
Ac9 0.7500 0.8038 0.7771
Ac10 0.7500 0.1425 0.9508
Ac11 0.2500 0.5563 0.8813
Ac12 0.2500 0.1962 0.2229
Ge1 0.2500 0.0000 0.8175
Ge2 0.7500 0.5000 0.6825
Ge3 0.7500 0.0000 0.1825
Ge4 0.2500 0.5000 0.3175

Energy ordering: version two at the bottom, the next structure 0.101 eV/atom above.

Version one
Here is Ac3Ge2Pt after structural relaxation from Alexandria via LeMat-Bulk. Energies are from PBE.

## Properties
DOS(E_F) = 0.878 states/eV per atom
Calculated volume = 396 Å³ per cell
Symmetry = C2/c (15)

Lattice parameters (Å, degrees): 6.4027 9.0403 7.8818 106.65 113.96 90.00
Fractional coordinates of all 12 atoms:
Pt1 0.9974 0.7500 0.0000
Pt2 0.0026 0.2500 0.0000
Ac1 0.4962 0.7500 0.0000
Ac2 0.8408 0.9203 0.6813
Ac3 0.5038 0.2500 0.0000
Ac4 0.1592 0.0797 0.3187
Ac5 0.1595 0.5797 0.3187
Ac6 0.8405 0.4203 0.6813
Ge1 0.6691 0.0845 0.3387
Ge2 0.3304 0.4155 0.6613
Ge3 0.3309 0.9155 0.6613
Ge4 0.6696 0.5845 0.3387

Version two
Here is Ac3Ge2Pt after structural relaxation from Alexandria via LeMat-Bulk. Energies are from PBE.

## Properties
DOS(E_F) = 0.797 states/eV per atom
Calculated volume = 726 Å³ per cell
Symmetry = Pnma (62)

Lattice parameters (Å, degrees): 4.5966 12.5782 12.5642 90.00 90.00 90.00
Fractional coordinates of all 24 atoms:
Ge1 0.2500 0.4966 0.8052
Ge2 0.7500 0.9966 0.6948
Ge3 0.2500 0.0034 0.3052
Ge4 0.7500 0.3101 0.5208
Ge5 0.2500 0.6899 0.4792
Ge6 0.2500 0.8101 0.9792
Ge7 0.7500 0.5034 0.1948
Ge8 0.7500 0.1899 0.0208
Ac1 0.7500 0.1925 0.2840
Ac2 0.2500 0.4461 0.3837
Ac3 0.2500 0.1274 0.5602
Ac4 0.7500 0.9461 0.1163
Ac5 0.7500 0.6274 0.9398
Ac6 0.2500 0.0539 0.8837
Ac7 0.2500 0.8075 0.7160
Ac8 0.7500 0.5539 0.6163
Ac9 0.7500 0.3075 0.7840
Ac10 0.2500 0.3726 0.0602
Ac11 0.2500 0.6925 0.2160
Ac12 0.7500 0.8726 0.4398
Pt1 0.7500 0.6305 0.3736
Pt2 0.7500 0.8695 0.8736
Pt3 0.2500 0.1305 0.1264
Pt4 0.2500 0.3695 0.6264

Energy ordering: version two at the bottom, the next structure 0.127 eV/atom above.

Version one
Here is AcGe2Pt4 after structural relaxation from Alexandria via LeMat-Bulk. Energies are from PBE.

## Properties
DOS(E_F) = 0.815 states/eV per atom
Calculated volume = 136 Å³ per cell
Symmetry = Cmmm (65)

Lattice parameters (Å, degrees): 4.4899 4.4741 7.1279 108.29 90.00 90.00
Fractional coordinates of all 7 atoms:
Pt1 0.0000 0.3205 0.6409
Pt2 0.0000 0.6795 0.3591
Pt3 0.5000 0.1804 0.3608
Pt4 0.5000 0.8196 0.6392
Ge1 0.5000 0.4004 0.8007
Ge2 0.5000 0.5996 0.1993
Ac1 0.0000 0.0000 0.0000

Version two
Here is AcGe2Pt4 after structural relaxation from Alexandria via LeMat-Bulk. Energies are from PBE.

## Properties
DOS(E_F) = 0.393 states/eV per atom
Calculated volume = 557 Å³ per cell
Symmetry = Pnma (62)

Lattice parameters (Å, degrees): 4.2471 7.0519 18.6058 90.00 90.00 90.00
Fractional coordinates of all 28 atoms:
Pt1 0.7500 0.7768 0.7663
Pt2 0.2500 0.8403 0.1652
Pt3 0.7500 0.7232 0.2663
Pt4 0.2500 0.2232 0.2337
Pt5 0.2500 0.1255 0.5134
Pt6 0.7500 0.5199 0.5637
Pt7 0.2500 0.6597 0.6652
Pt8 0.2500 0.3745 0.0134
Pt9 0.7500 0.9801 0.0637
Pt10 0.7500 0.6255 0.9866
Pt11 0.7500 0.8745 0.4866
Pt12 0.2500 0.4801 0.4363
Pt13 0.2500 0.2768 0.7337
Pt14 0.7500 0.3403 0.3348
Pt15 0.2500 0.0199 0.9363
Pt16 0.7500 0.1597 0.8348
Ge1 0.2500 0.5353 0.3003
Ge2 0.7500 0.2287 0.9660
Ge3 0.7500 0.0353 0.1997
Ge4 0.2500 0.9647 0.8003
Ge5 0.7500 0.4647 0.6997
Ge6 0.2500 0.7287 0.5340
Ge7 0.2500 0.7713 0.0340
Ge8 0.7500 0.2713 0.4660
Ac1 0.7500 0.4652 0.1387
Ac2 0.2500 0.9652 0.3613
Ac3 0.2500 0.5348 0.8613
Ac4 0.7500 0.0348 0.6387

Energy ordering: version two at the bottom, the next structure 0.019 eV/atom above.

Version one
Here is Ac7Ge2Pt2 after structural relaxation from Alexandria via LeMat-Bulk. Energies are from PBE.

## Properties
DOS(E_F) = 0.837 states/eV per atom
Calculated volume = 402 Å³ per cell
Symmetry = Cmmm (65)

Lattice parameters (Å, degrees): 7.3902 7.5507 7.3902 90.00 102.99 90.00
Fractional coordinates of all 11 atoms:
Ac1 0.0000 0.0000 0.0000
Ac2 0.5000 0.7349 0.0000
Ac3 0.5000 0.2391 0.5000
Ac4 0.5000 0.2651 0.0000
Ac5 0.5000 0.7609 0.5000
Ac6 0.0000 0.2651 0.5000
Ac7 0.0000 0.7349 0.5000
Pt1 0.7282 0.0000 0.2718
Pt2 0.2718 0.0000 0.7282
Ge1 0.7826 0.5000 0.7826
Ge2 0.2174 0.5000 0.2174

Version two
Here is Ac7Ge2Pt2 after structural relaxation from Alexandria via LeMat-Bulk. Energies are from PBE.

## Properties
DOS(E_F) = 0.957 states/eV per atom
Calculated volume = 372 Å³ per cell
Symmetry = Imm2 (44)

Lattice parameters (Å, degrees): 4.4253 9.9373 9.9373 61.82 77.13 77.13
Fractional coordinates of all 11 atoms:
Pt1 0.0000 0.7770 0.2230
Pt2 0.5000 0.3438 0.6562
Ac1 0.1225 0.1461 0.6089
Ac2 0.6118 0.4982 0.2783
Ac3 0.1898 0.7030 0.9175
Ac4 0.8775 0.3911 0.8539
Ac5 0.8102 0.0825 0.2970
Ac6 0.3882 0.7217 0.5018
Ac7 0.5000 0.9898 0.0102
Ge1 0.2618 0.3386 0.1378
Ge2 0.7382 0.8622 0.6614

Energy ordering: version two at the bottom, the next structure 0.184 eV/atom above.